Entry P
{"formula": "Cu2BrN", "functional": "PBE", "state": "optimized geometry", "lattice_angstrom": [[-2.5709, 2.5709, 4.8599], [2.5709, -2.5709, 4.8599], [2.5709, 2.5709, -4.8599]], "species": ["Cu", "Cu", "Cu", "Cu", "Br", "Br", "N", "N"], "frac_coords": [[0.3750, 0.2492, 0.3742], [0.7508, 0.1250, 0.1258], [0.8750, 0.0008, 0.6258], [0.9992, 0.6250, 0.8742], [0.2500, 0.7500, 0.5000], [0.5000, 0.5000, 0.0000], [0.0000, 0.0000, 0.0000], [0.7500, 0.2500, 0.5000]]}

***

Entry Q
{"formula": "Cu2BrN", "functional": "PBE", "state": "optimized geometry", "lattice_angstrom": [[0.0000, 3.0217, 3.0217], [3.0217, 0.0000, 3.0217], [3.0217, 3.0217, 0.0000]], "species": ["Cu", "Cu", "Br", "N"], "frac_coords": [[0.2500, 0.2500, 0.2500], [0.7500, 0.7500, 0.7500], [0.0000, 0.0000, 0.0000], [0.5000, 0.5000, 0.5000]]}

***

Decreasing stability: entry P, entry Q

***

Entry P
{"formula": "CuBr4N2O2", "functional": "PBE", "state": "optimized geometry", "lattice_angstrom": [[-4.2472, 4.2472, 4.2636], [4.2472, -4.2472, 4.2636], [4.2472, 4.2472, -4.2636]], "species": ["Cu", "Br", "Br", "Br", "Br", "N", "N", "O", "O"], "frac_coords": [[0.0000, 0.0000, 0.0000], [0.1900, 0.1900, 0.3799], [0.1900, 0.8100, 0.0000], [0.8100, 0.1900, 0.0000], [0.8100, 0.8100, 0.6201], [0.2500, 0.7500, 0.5000], [0.7500, 0.2500, 0.5000], [0.4277, 0.4277, 0.0000], [0.5723, 0.5723, 0.0000]]}

***

Entry Q
{"formula": "CuBr4N2O2", "functional": "PBE", "state": "optimized geometry", "lattice_angstrom": [[8.8163, 0.0000, 0.0000], [0.0000, 8.8163, 0.0000], [0.0000, 0.0000, 6.2357]], "species": ["Cu", "Cu", "Br", "Br", "Br", "Br", "Br", "Br", "Br", "Br", "N", "N", "N", "N", "O", "O", "O", "O"], "frac_coords": [[0.0000, 0.0000, 0.0000], [0.5000, 0.5000, 0.5000], [0.1329, 0.1329, 0.5000], [0.1894, 0.1894, 0.0000], [0.3106, 0.6894, 0.5000], [0.3671, 0.6329, 0.0000], [0.6329, 0.3671, 0.0000], [0.6894, 0.3106, 0.5000], [0.8106, 0.8106, 0.0000], [0.8671, 0.8671, 0.5000], [0.0000, 0.5000, 0.2500], [0.0000, 0.5000, 0.7500], [0.5000, 0.0000, 0.2500], [0.5000, 0.0000, 0.7500], [0.0000, 0.0000, 0.3021], [0.0000, 0.0000, 0.6979], [0.5000, 0.5000, 0.1979], [0.5000, 0.5000, 0.8021]]}

***

Decreasing stability: entry P, entry Q

***

Entry P
{"formula": "CuSBrN2", "functional": "PBE", "state": "optimized geometry", "lattice_angstrom": [[3.7674, 0.0000, 0.0000], [0.0000, 3.7674, 0.0000], [0.0000, 0.0000, 6.0618]], "species": ["Cu", "S", "Br", "N", "N"], "frac_coords": [[0.0000, 0.0000, 0.0000], [0.0000, 0.0000, 0.5000], [0.5000, 0.5000, 0.5000], [0.0000, 0.5000, 0.0000], [0.5000, 0.0000, 0.0000]]}

***

Entry Q
{"formula": "CuSBrN2", "functional": "PBE", "state": "optimized geometry", "lattice_angstrom": [[3.6528, 0.0000, 0.0000], [0.0000, 3.6528, 0.0000], [0.0000, 0.0000, 6.6844]], "species": ["Cu", "S", "Br", "N", "N"], "frac_coords": [[0.0000, 0.0000, 0.0000], [0.5000, 0.5000, 0.0000], [0.5000, 0.5000, 0.5000], [0.0000, 0.5000, 0.5000], [0.5000, 0.0000, 0.5000]]}

***

Decreasing stability: entry P, entry Q